No. 1
# Tc2RuCl

An optimized crystal structure of Tc2RuCl (PBE, Alexandria).

For the total energy, the calculation gives -28.55 eV per cell. For the raw formation energy, the calculation gives 0.827 eV/atom. As for the volume: 58.9 Å³ per cell. The energy above the most stable polymorph in this dataset is 545 meV/atom.

It has space group Pmmm (No. 47), with a = 2.850 Å, b = 4.477 Å, c = 4.615 Å, α = 90.00°, β = 90.00° and γ = 90.00°. Symmetry generates all atoms from Tc at (0.000, 0.000, 0.000), Tc at (0.500, 0.500, 0.000), Ru at (0.000, 0.500, 0.500) and Cl at (0.500, 0.000, 0.500).



No. 2
# InCu2B

An optimized crystal structure of InCu2B (PBE, Alexandria).

For the total energy, the calculation gives -61.94 eV per cell. As for the volume: 267.2 Å³ per cell. For the calculated formation energy, the calculation gives 0.53 eV per atom.

It has space group I-42d (No. 122), with a = 4.481 Å, b = 4.481 Å, c = 13.311 Å, α = 90.00°, β = 90.00° and γ = 90.00°. Symmetry generates all atoms from In at (0.000, 0.000, 0.000), Cu at (0.059, 0.250, 0.625) and B at (0.000, 0.000, 0.500).



No. 3
# NdZr2CoN4

An optimized crystal structure of NdZr2CoN4 (PBE, Alexandria).

For the total energy, the calculation gives -288.69 eV per cell. For the raw formation energy, the calculation gives -1.238 eV/atom. As for the volume: 404.7 Å³ per cell.

It has space group Cmcm (No. 63), with a = 3.271 Å, b = 11.119 Å, c = 11.128 Å, α = 90.00°, β = 90.00° and γ = 90.00°. Symmetry generates all atoms from Nd at (0.000, 0.106, 0.250), Zr at (0.000, 0.368, 0.053), Co at (0.000, 0.157, 0.750), N at (0.000, 0.000, 0.000), N at (0.000, 0.268, 0.615) and N at (0.000, 0.438, 0.250).



No. 4
# Sr2HgIr

An optimized crystal structure of Sr2HgIr (PBE, Alexandria).

For the total energy, the calculation gives -25.87 eV per cell. As for the volume: 264.2 Å³ per cell. For the calculated formation energy, the calculation gives -0.10 eV per atom.

It has space group C2/m (No. 12), with a = 7.698 Å, b = 4.431 Å, c = 8.155 Å, α = 90.00°, β = 108.22° and γ = 90.00°. Symmetry generates all atoms from Sr at (0.232, 0.000, 0.195), Hg at (0.000, 0.000, 0.500) and Ir at (0.000, 0.500, 0.000).



No. 5
# Er6Pt2O

An optimized crystal structure of Er6Pt2O (PBE, Alexandria).

For the total energy, the calculation gives -112.26 eV per cell. For the raw formation energy, the calculation gives -1.302 eV/atom. As for the volume: 417.5 Å³ per cell.

It has space group P2_1/c (No. 14), with a = 6.370 Å, b = 6.960 Å, c = 11.238 Å, α = 90.00°, β = 123.06° and γ = 90.00°. Symmetry generates all atoms from Er at (0.127, 0.028, 0.244), Er at (0.237, 0.687, 0.058), Er at (0.369, 0.181, 0.057), Pt at (0.298, 0.100, 0.754) and O at (0.000, 0.000, 0.000).



No. 6
# LiAc2YS4

An optimized crystal structure of LiAc2YS4 (PBE, Alexandria).

For the total energy, the calculation gives -48.15 eV per cell. For the raw formation energy, the calculation gives -1.881 eV/atom. As for the volume: 196.2 Å³ per cell.

It has space group P2/m (No. 10), with a = 7.050 Å, b = 4.131 Å, c = 7.157 Å, α = 90.00°, β = 109.71° and γ = 90.00°. Symmetry generates all atoms from Li at (0.000, 0.000, 0.000), Ac at (0.500, 0.000, 0.500), Ac at (0.500, 0.500, 0.000), Y at (0.000, 0.500, 0.500), S at (0.221, 0.000, 0.743) and S at (0.223, 0.500, 0.242).



No. 7
# TlB2Ir

An optimized crystal structure of TlB2Ir (PBE, Alexandria).

For the total energy, the calculation gives -74.37 eV per cell. As for the volume: 205.6 Å³ per cell. For the calculated formation energy, the calculation gives 1.50 eV per atom. The energy above the most stable polymorph in this dataset is 1043 meV/atom.

It has space group Fm-3m (No. 225), with a = 5.902 Å, b = 5.902 Å, c = 5.902 Å, α = 90.00°, β = 90.00° and γ = 90.00°. Symmetry generates all atoms from Tl at (0.000, 0.000, 0.000), B at (0.250, 0.250, 0.250) and Ir at (0.000, 0.000, 0.500).



No. 8
# KRbTa2

An optimized crystal structure of KRbTa2 (PBE, Alexandria).

For the total energy, the calculation gives -67.23 eV per cell. As for the volume: 527.3 Å³ per cell. For the calculated formation energy, the calculation gives 2.24 eV per atom. The energy above the most stable polymorph in this dataset is 0 meV/atom.

It has space group I-42d (No. 122), with a = 9.858 Å, b = 9.858 Å, c = 5.426 Å, α = 90.00°, β = 90.00° and γ = 90.00°. Symmetry generates all atoms from K at (0.000, 0.000, 0.000), Rb at (0.000, 0.000, 0.500) and Ta at (0.250, 0.250, 0.375).



No. 9
# LaMn

An optimized crystal structure of LaMn (PBE, Alexandria).

For the total energy, the calculation gives -39.06 eV per cell. As for the volume: 153.1 Å³ per cell. For the calculated formation energy, the calculation gives 0.54 eV per atom.

It has space group R-3m (No. 166, hexagonal axes), with a = 3.5769 Å, b = 3.5769 Å, c = 13.8161 Å, α = 90.00°, β = 90.00° and γ = 120.00°. Symmetry generates all atoms from La at (0.0000, 0.0000, 0.0000) and Mn at (0.0000, 0.0000, 0.5000).



No. 10
# BeCrMo

An optimized crystal structure of BeCrMo (PBE, Alexandria).

For the total energy, the calculation gives -47.93 eV per cell. As for the volume: 73.3 Å³ per cell. For the calculated formation energy, the calculation gives 0.07 eV per atom. The energy above the most stable polymorph in this dataset is 5 meV/atom.

It has space group I4mm (No. 107), with a = 3.079 Å, b = 3.079 Å, c = 7.727 Å, α = 90.00°, β = 90.00° and γ = 90.00°. Symmetry generates all atoms from Be at (0.000, 0.000, 0.000), Cr at (0.000, 0.000, 0.342) and Mo at (0.000, 0.000, 0.671).



No. 11
# Zn2IrSe

An optimized crystal structure of Zn2IrSe (PBE, Alexandria).

For the total energy, the calculation gives -52.32 eV per cell. For the raw formation energy, the calculation gives 0.453 eV/atom. As for the volume: 370.3 Å³ per cell.

It has space group I-42d (No. 122), with a = 5.989 Å, b = 5.989 Å, c = 10.324 Å, α = 90.00°, β = 90.00° and γ = 90.00°. Symmetry generates all atoms from Zn at (0.250, 0.250, 0.125), Ir at (0.000, 0.000, 0.000) and Se at (0.000, 0.000, 0.500).



No. 12
# Al3Pb

An optimized crystal structure of Al3Pb (PBE, Alexandria).

For the total energy, the calculation gives -55.33 eV per cell. As for the volume: 376.8 Å³ per cell. For the calculated formation energy, the calculation gives 0.28 eV per atom.

It has space group Cmcm (No. 63), with a = 8.539 Å, b = 10.742 Å, c = 4.108 Å, α = 90.00°, β = 90.00° and γ = 90.00°. Symmetry generates all atoms from Al at (0.000, 0.075, 0.250), Al at (0.164, 0.187, 0.750) and Pb at (0.000, 0.381, 0.250).



No. 13
# AgP2W

An optimized crystal structure of AgP2W (PBE, Alexandria).

For the total energy, the calculation gives -98.30 eV per cell. As for the volume: 242.4 Å³ per cell. For the calculated formation energy, the calculation gives 0.51 eV per atom. The energy above the most stable polymorph in this dataset is 490 meV/atom.

It has space group Fm-3m (No. 225), with a = 6.235 Å, b = 6.235 Å, c = 6.235 Å, α = 90.00°, β = 90.00° and γ = 90.00°. Symmetry generates all atoms from Ag at (0.000, 0.000, 0.000), P at (0.250, 0.250, 0.250) and W at (0.000, 0.000, 0.500).



No. 14
# In2Re

An optimized crystal structure of In2Re (PBE, Alexandria).

For the total energy, the calculation gives -64.51 eV per cell. As for the volume: 230.5 Å³ per cell. For the calculated formation energy, the calculation gives 0.60 eV per atom.

It has space group Pnma (No. 62), with a = 5.619 Å, b = 4.518 Å, c = 9.080 Å, α = 90.00°, β = 90.00° and γ = 90.00°. Symmetry generates all atoms from In at (0.110, 0.250, 0.198), In at (0.159, 0.250, 0.544) and Re at (0.169, 0.250, 0.862).



No. 15
# Pm3TlCd8

An optimized crystal structure of Pm3TlCd8 (PBE, Alexandria).

For the total energy, the calculation gives -79.91 eV per cell. As for the volume: 912.6 Å³ per cell. For the calculated formation energy, the calculation gives -0.22 eV per atom.

It has space group R3m (No. 160, hexagonal axes), with a = 6.0212 Å, b = 6.0212 Å, c = 29.0664 Å, α = 90.00°, β = 90.00° and γ = 120.00°. Symmetry generates all atoms from Pm at (0.0000, 0.0000, 0.0000), Pm at (0.0000, 0.0000, 0.1250), Pm at (0.0000, 0.0000, 0.5078), Tl at (0.0000, 0.0000, 0.6282), Cd at (0.0000, 0.0000, 0.3149), Cd at (0.0000, 0.0000, 0.8142), Cd at (0.9997, 0.4999, 0.5633) and Cd at (0.0037, 0.5019, 0.0661).



No. 16
# ZrMo2Pt

An optimized crystal structure of ZrMo2Pt (PBE, Alexandria).

For the total energy, the calculation gives -106.66 eV per cell. As for the volume: 207.2 Å³ per cell. For the calculated formation energy, the calculation gives 0.17 eV per atom. The energy above the most stable polymorph in this dataset is 445 meV/atom.

It has space group R-3m (No. 166, hexagonal axes), with a = 2.8340 Å, b = 2.8340 Å, c = 29.7885 Å, α = 90.00°, β = 90.00° and γ = 120.00°. Symmetry generates all atoms from Zr at (0.0000, 0.0000, 0.0000), Mo at (0.0000, 0.0000, 0.2434) and Pt at (0.0000, 0.0000, 0.5000).



No. 17
# Tb4Tl2CdRh

An optimized crystal structure of Tb4Tl2CdRh (PBE, Alexandria).

For the total energy, the calculation gives -105.36 eV per cell. As for the volume: 610.7 Å³ per cell. For the calculated formation energy, the calculation gives -0.45 eV per atom.

It has space group R-3m (No. 166, hexagonal axes), with a = 5.2684 Å, b = 5.2684 Å, c = 25.4081 Å, α = 90.00°, β = 90.00° and γ = 120.00°. Symmetry generates all atoms from Tb at (0.0000, 0.0000, 0.1136), Tb at (0.0000, 0.0000, 0.3678), Tl at (0.0000, 0.0000, 0.2415), Cd at (0.0000, 0.0000, 0.5000) and Rh at (0.0000, 0.0000, 0.0000).



No. 18
# Ta2TeSe

An optimized crystal structure of Ta2TeSe (PBE, Alexandria).

For the total energy, the calculation gives -112.54 eV per cell. For the raw formation energy, the calculation gives 0.549 eV/atom. As for the volume: 320.7 Å³ per cell. The energy above the most stable polymorph in this dataset is 922 meV/atom.

It has space group F-43m (No. 216), with a = 6.845 Å, b = 6.845 Å, c = 6.845 Å, α = 90.00°, β = 90.00° and γ = 90.00°. Symmetry generates all atoms from Ta at (0.000, 0.000, 0.000), Ta at (0.250, 0.250, 0.250), Te at (0.000, 0.000, 0.500) and Se at (0.250, 0.250, 0.750).



No. 19
# BaMg14Mn

An optimized crystal structure of BaMg14Mn (PBE, Alexandria).

For the total energy, the calculation gives -31.38 eV per cell. As for the volume: 392.9 Å³ per cell. For the calculated formation energy, the calculation gives 0.13 eV per atom. The energy above the most stable polymorph in this dataset is 4 meV/atom.

It has space group P-6m2 (No. 187), with a = 6.5853 Å, b = 6.5853 Å, c = 10.4610 Å, α = 90.00°, β = 90.00° and γ = 120.00°. Symmetry generates all atoms from Ba at (0.0000, 0.0000, 0.0000), Mg at (0.0166, 0.5083, 0.0000), Mg at (0.1667, 0.3334, 0.2722), Mg at (0.5051, 0.0102, 0.5000), Mg at (0.6667, 0.3333, 0.2387) and Mn at (0.0000, 0.0000, 0.5000).



No. 20
# TaNbHI2

An optimized crystal structure of TaNbHI2 (PBE, Alexandria).

For the total energy, the calculation gives -24.33 eV per cell. As for the volume: 88.3 Å³ per cell.

It has space group P4/mmm (No. 123), with a = 4.957 Å, b = 4.957 Å, c = 3.592 Å, α = 90.00°, β = 90.00° and γ = 90.00°. Symmetry generates all atoms from Ta at (0.000, 0.000, 0.000), Nb at (0.500, 0.500, 0.000), H at (0.000, 0.000, 0.500) and I at (0.000, 0.500, 0.500).



No. 21
# Hg2MoAu

An optimized crystal structure of Hg2MoAu (PBE, Alexandria).

For the total energy, the calculation gives -12.71 eV per cell. As for the volume: 77.8 Å³ per cell. For the calculated formation energy, the calculation gives 0.50 eV per atom. The energy above the most stable polymorph in this dataset is 143 meV/atom.

It has space group Pm (No. 6), with a = 2.891 Å, b = 4.490 Å, c = 6.153 Å, α = 90.00°, β = 102.90° and γ = 90.00°. Symmetry generates all atoms from Hg at (0.000, 0.000, 0.000), Hg at (0.385, 0.500, 0.746), Mo at (0.626, 0.500, 0.262) and Au at (0.219, 0.000, 0.463).



No. 22
# Co2Re3Tc4

An optimized crystal structure of Co2Re3Tc4 (PBE, Alexandria).

For the total energy, the calculation gives -366.87 eV per cell. As for the volume: 504.6 Å³ per cell. For the calculated formation energy, the calculation gives 0.14 eV per atom.

It has space group C2/c (No. 15), with a = 12.558 Å, b = 9.076 Å, c = 4.495 Å, α = 90.00°, β = 99.99° and γ = 90.00°. Symmetry generates all atoms from Co at (0.101, 0.141, 0.303), Re at (0.000, 0.106, 0.750), Re at (0.177, 0.351, 0.589), Tc at (0.065, 0.388, 0.021) and Tc at (0.212, 0.095, 0.874).



No. 23
# CsInHgBr4

An optimized crystal structure of CsInHgBr4 (PBE, Alexandria).

For the total energy, the calculation gives -70.71 eV per cell. For the raw formation energy, the calculation gives -1.013 eV/atom. As for the volume: 1294.4 Å³ per cell.

It has space group C2/m (No. 12), with a = 17.855 Å, b = 8.032 Å, c = 9.425 Å, α = 90.00°, β = 106.71° and γ = 90.00°. Symmetry generates all atoms from Cs at (0.182, 0.000, 0.234), In at (0.150, 0.000, 0.712), Hg at (0.002, 0.500, 0.192), Br at (0.047, 0.000, 0.850), Br at (0.139, 0.255, 0.548) and Br at (0.217, 0.500, 0.091).



No. 24
# AlZnCuOs2

An optimized crystal structure of AlZnCuOs2 (PBE, Alexandria).

For the total energy, the calculation gives -24.49 eV per cell. As for the volume: 86.7 Å³ per cell. For the calculated formation energy, the calculation gives 1.42 eV per atom. The energy above the most stable polymorph in this dataset is 0 meV/atom.

It has space group P4/mmm (No. 123), with a = 4.537 Å, b = 4.537 Å, c = 4.213 Å, α = 90.00°, β = 90.00° and γ = 90.00°. Symmetry generates all atoms from Al at (0.000, 0.000, 0.000), Zn at (0.500, 0.500, 0.000), Cu at (0.000, 0.000, 0.500) and Os at (0.000, 0.500, 0.500).